No. 1
Compound: Sm3MgIn4Te8
Source: the Alexandria database
Functional: PBE-GGA
Structure: optimized geometry

Values from the calculation:
theoretical density	6.02	g cm⁻³
E	-65.421	eV/cell
calculated volume	33.73	Å³/atom
DOS(E_F)	6.1	states/eV/f.u.
formation energy from raw total energies	-13.582	eV/f.u.

Unit cell a=9.406 b=9.406 c=9.406 alpha=56.42 beta=56.42 gamma=56.42
Fractional positions:
Sm (0.000, 0.500, 0.500)
Sm (0.500, 0.000, 0.500)
Sm (0.500, 0.500, 0.000)
Mg (0.000, 0.000, 0.000)
In (0.000, 0.000, 0.500)
In (0.000, 0.500, 0.000)
In (0.500, 0.000, 0.000)
In (0.500, 0.500, 0.500)
Te (0.237, 0.237, 0.750)
Te (0.237, 0.750, 0.237)
Te (0.250, 0.763, 0.763)
Te (0.256, 0.256, 0.256)
Te (0.744, 0.744, 0.744)
Te (0.750, 0.237, 0.237)
Te (0.763, 0.250, 0.763)
Te (0.763, 0.763, 0.250)



No. 2
Compound: TcMo3
Source: the Alexandria database
Functional: PBE-GGA
Structure: optimized geometry

Values from the calculation:
theoretical density	10.20	g cm⁻³
E	-41.736	eV/cell
calculated volume	15.70	Å³/atom
E above lowest polymorph	259	meV/atom
DOS(E_F)	5.1	states/eV/f.u.
calculated formation energy	0.281	eV per atom

Unit cell a=3.974 b=3.974 c=3.974 alpha=90.00 beta=90.00 gamma=90.00
Fractional positions:
Tc (0.000, 0.000, 0.000)
Mo (0.000, 0.500, 0.500)
Mo (0.500, 0.000, 0.500)
Mo (0.500, 0.500, 0.000)